Density functional theory data (PBE-GGA) for a relaxed structure of MgZr4Cu.

Cell lengths 3.1658, 3.1658, 12.7021 Å; angles 90.00, 90.00, 90.00 degrees
Fractional coordinates of all 6 atoms:
Mg1 0.0000 0.0000 0.0000
Zr1 0.0000 0.0000 0.3598
Zr2 0.0000 0.0000 0.6402
Zr3 0.5000 0.5000 0.1856
Zr4 0.5000 0.5000 0.8144
Cu1 0.5000 0.5000 0.5000

Total magnetic moment in μB/f.u.: 0.00
SG: No. 123
Total DFT energy (no corrections) in Ry per atom: -0.488